(1)
The following is a PBE calculation of crystalline PrU2 at its relaxed geometry, from OQMD.

Computed properties:
**Magnetic moment**: 24.87 μB/cell
**ΔH_f (0 K)**: 3.2216 eV per atom

abc: 12.199 12.199 12.199
angles: 90.00 90.00 90.00
Space group Fd-3m (No. 227, origin choice 2)
Unique sites:
Pr  0.125  0.125  0.125 x8
U  0.000  0.000  0.000 x16



(2)
The following is a PBE calculation of crystalline Li6CuAg at its relaxed geometry, from OQMD.

Computed properties:
**Raw total energy**: -18.54 eV per cell

abc: 4.392 4.392 6.211
angles: 90.00 90.00 90.00
Space group P4/mmm (No. 123)
Unique sites:
Li  0.000  0.000  0.000 x1
Li  0.000  0.500  0.245 x4
Li  0.500  0.500  0.500 x1
Cu  0.500  0.500  0.000 x1
Ag  0.000  0.000  0.500 x1